The following is a DFT calculation (PBE-GGA) of Tc2SnAs after structural relaxation.

a = 7.2700 Å, b = 7.2700 Å, c = 5.8502 Å
α = 51.59°, β = 51.59°, γ = 90.00°
Last column: magnetic moment on the atom in μB.
Fractional positions:
Tc 0.5605 0.1250 0.2500  0.47
Tc 0.1895 0.6250 0.2500  0.48
As 0.5000 0.5000 0.0000  -0.01
Tc 0.8750 0.8105 0.7500  0.48
Sn 0.0000 0.0000 0.0000  -0.01
Tc 0.3750 0.4395 0.7500  0.48
Sn 0.7500 0.2500 0.5000  -0.01
As 0.2500 0.7500 0.5000  -0.01

Values from the calculation:
Formation energy = 499 meV per atom
DFT total energy = -54.8 eV for the cell shown
Energy relative to the lowest polymorph listed for this composition = 437.9 meV per atom

The following is a DFT calculation (PBE-GGA) of TcSn2As2 after structural relaxation.

a = 6.4283 Å, b = 6.4283 Å, c = 5.2225 Å
α = 90.00°, β = 90.00°, γ = 90.00°
Fractional positions:
Sn 0.8166 0.3166 0.5000
Sn 0.6834 0.8166 0.5000
Tc 0.0000 0.0000 0.0000
As 0.8567 0.6433 0.0000
Tc 0.5000 0.5000 0.0000
Sn 0.1834 0.6834 0.5000
As 0.3567 0.8567 0.0000
As 0.6433 0.1433 0.0000
As 0.1433 0.3567 0.0000
Sn 0.3166 0.1834 0.5000

Values from the calculation:
Formation energy = 117 meV per atom
DFT total energy = -54.2 eV for the cell shown

The following is a DFT calculation (PBE-GGA) of TcSnAs2W after structural relaxation.

a = 5.1183 Å, b = 5.1268 Å, c = 5.1183 Å
α = 90.00°, β = 90.00°, γ = 90.00°
Last column: magnetic moment on the atom in μB.
Fractional positions:
As 0.5000 0.0000 0.0000  -0.03
Sn 0.0000 0.0000 0.0000  0.03
Tc 0.5000 0.5000 0.5000  3.47
As 0.0000 0.0000 0.5000  -0.05
W 0.0000 0.5000 0.0000  -1.99

Values from the calculation:
Formation energy = 2229 meV per atom
DFT total energy = -25.5 eV for the cell shown

The following is a DFT calculation (PBE-GGA) of Sn3TeAs after structural relaxation.

a = 5.8050 Å, b = 5.8050 Å, c = 5.8050 Å
α = 90.00°, β = 90.00°, γ = 90.00°
Fractional positions:
Sn 0.0000 0.5000 0.0000
Te 0.0000 0.0000 0.0000
As 0.5000 0.5000 0.5000
Sn 0.5000 0.0000 0.0000
Sn 0.0000 0.0000 0.5000

Values from the calculation:
E_form (uncorrected) = 0.816 eV/atom
DFT total energy = -15.7 eV for the cell shown
Energy relative to the lowest polymorph listed for this composition = 792.5 meV per atom

The following is a DFT calculation (PBE-GGA) of Sn2Te2As after structural relaxation.

a = 8.3396 Å, b = 8.3396 Å, c = 4.0988 Å
α = 90.00°, β = 90.00°, γ = 90.00°
Fractional positions:
As 0.5000 0.5000 0.0000
Sn 0.8281 0.6719 0.0000
As 0.0000 0.0000 0.0000
Te 0.3549 0.1451 0.5000
Sn 0.3281 0.8281 0.0000
Te 0.1451 0.6451 0.5000
Sn 0.6719 0.1719 0.0000
Te 0.6451 0.8549 0.5000
Te 0.8549 0.3549 0.5000
Sn 0.1719 0.3281 0.0000

Values from the calculation:
E_form (uncorrected) = 0.162 eV/atom
DFT total energy = -36.3 eV for the cell shown
Energy relative to the lowest polymorph listed for this composition = 2.0 meV per atom

The following is a DFT calculation (PBE-GGA) of Sn5Te4As after structural relaxation.

a = 4.4204 Å, b = 4.4204 Å, c = 16.1687 Å
α = 97.86°, β = 97.86°, γ = 90.00°
Fractional positions:
Sn 0.5000 0.5000 0.0000
Sn 0.9106 0.9106 0.8212
Te 0.3999 0.3999 0.7998
Te 0.1986 0.1986 0.3972
Sn 0.0894 0.0894 0.1788
Sn 0.2979 0.2979 0.5959
Sn 0.7021 0.7021 0.4041
As 0.0000 0.0000 0.0000
Te 0.6001 0.6001 0.2002
Te 0.8014 0.8014 0.6028

Values from the calculation:
E_form (uncorrected) = -0.209 eV/atom
DFT total energy = -39.3 eV for the cell shown
Energy relative to the lowest polymorph listed for this composition = 6.8 meV per atom

The following is a DFT calculation (PBE-GGA) of SnTe6As3 after structural relaxation.

a = 4.1147 Å, b = 13.0417 Å, c = 13.4172 Å
α = 116.33°, β = 90.00°, γ = 90.00°
Fractional positions:
Te 0.7500 0.9199 0.0747
Te 0.2500 0.2575 0.7677
Te 0.7500 0.7847 0.7224
Te 0.2500 0.0801 0.9253
As 0.2500 0.2923 0.5857
Sn 0.7500 0.0141 0.7209
Te 0.7500 0.0836 0.4631
Te 0.7500 0.7425 0.2323
Te 0.2500 0.5482 0.3514
Te 0.7500 0.4518 0.6486
As 0.7500 0.1403 0.1167
As 0.2500 0.5631 0.1361
Te 0.2500 0.2153 0.2776
Te 0.7500 0.3931 0.0525
As 0.2500 0.8597 0.8833
As 0.7500 0.4369 0.8639
Te 0.2500 0.9164 0.5369
Sn 0.2500 0.9859 0.2791
As 0.7500 0.7077 0.4143
Te 0.2500 0.6069 0.9475

Values from the calculation:
E_form (uncorrected) = -0.016 eV/atom
DFT total energy = -73.9 eV for the cell shown

The following is a DFT calculation (PBE-GGA) of Sn3Te2As after structural relaxation.

a = 4.3507 Å, b = 4.3507 Å, c = 9.9420 Å
α = 102.64°, β = 102.64°, γ = 90.00°
Fractional positions:
Sn 0.5000 0.5000 0.0000
Te 0.3307 0.3307 0.6615
Sn 0.1499 0.1499 0.2997
As 0.0000 0.0000 0.0000
Sn 0.8501 0.8501 0.7003
Te 0.6693 0.6693 0.3385

Values from the calculation:
E_form (uncorrected) = -0.161 eV/atom
DFT total energy = -23.9 eV for the cell shown
Energy relative to the lowest polymorph listed for this composition = 16.4 meV per atom

The following is a DFT calculation (PBE-GGA) of SnTeAs2 after structural relaxation.

a = 5.1021 Å, b = 5.1021 Å, c = 5.1021 Å
α = 60.00°, β = 60.00°, γ = 60.00°
Fractional positions:
Sn 0.0000 0.0000 0.0000
As 0.7500 0.7500 0.7500
As 0.2500 0.2500 0.2500
Te 0.5000 0.5000 0.5000

Values from the calculation:
E_form (uncorrected) = 0.325 eV/atom
DFT total energy = -15.1 eV for the cell shown
Energy relative to the lowest polymorph listed for this composition = 106.9 meV per atom

The following is a DFT calculation (PBE-GGA) of Sn4Te3As after structural relaxation.

a = 4.3930 Å, b = 4.3930 Å, c = 12.6736 Å
α = 90.00°, β = 90.00°, γ = 90.00°
Fractional positions:
Te 0.5000 0.5000 0.7500
As 0.0000 0.0000 0.0000
Sn 0.0000 0.0000 0.2284
Sn 0.5000 0.5000 0.0000
Sn 0.5000 0.5000 0.5000
Te 0.5000 0.5000 0.2500
Te 0.0000 0.0000 0.5000
Sn 0.0000 0.0000 0.7716

Values from the calculation:
E_form (uncorrected) = -0.182 eV/atom
DFT total energy = -31.5 eV for the cell shown

The following is a DFT calculation (PBE-GGA) of Sn3TeAs after structural relaxation.

a = 9.6710 Å, b = 9.6710 Å, c = 9.6097 Å
α = 99.81°, β = 99.81°, γ = 126.20°
Fractional positions:
Te 0.6547 0.3453 0.2500
As 0.5031 0.7890 0.2535
Sn 0.0929 0.9443 0.5896
Sn 0.3788 0.9330 0.1037
Sn 0.6952 0.5945 0.5204
Sn 0.0670 0.6212 0.3963
As 0.4969 0.2110 0.7465
Sn 0.5945 0.6952 0.0204
Sn 0.0557 0.9071 0.9104
Te 0.1100 0.8900 0.2500
Te 0.8900 0.1100 0.7500
Sn 0.9330 0.3788 0.6037
Sn 0.3048 0.4055 0.4796
Sn 0.4055 0.3048 0.9796
Sn 0.9071 0.0557 0.4104
Sn 0.6212 0.0670 0.8963
Sn 0.9443 0.0929 0.0896
As 0.2110 0.4969 0.2465
As 0.7890 0.5031 0.7535
Te 0.3453 0.6547 0.7500

Values from the calculation:
E_form (uncorrected) = 0.023 eV/atom
DFT total energy = -78.7 eV for the cell shown
Energy relative to the lowest polymorph listed for this composition = 0.0 meV per atom

The following is a DFT calculation (PBE-GGA) of Sn2Te4As after structural relaxation.

a = 5.7033 Å, b = 5.7033 Å, c = 9.2754 Å
α = 114.93°, β = 114.93°, γ = 67.95°
Fractional positions:
Te 0.0000 0.5000 0.0000
Sn 0.6358 0.6358 0.2726
Te 0.1787 0.1787 0.3583
Te 0.5000 0.0000 0.0000
As 0.0000 0.0000 0.0000
Te 0.8213 0.8213 0.6417
Sn 0.3642 0.3642 0.7274

Values from the calculation:
E_form (uncorrected) = 0.130 eV/atom
DFT total energy = -24.3 eV for the cell shown

Please write out number 10 again, unchanged.
The following is a DFT calculation (PBE-GGA) of Sn4Te3As after structural relaxation.

a = 4.3930 Å, b = 4.3930 Å, c = 12.6736 Å
α = 90.00°, β = 90.00°, γ = 90.00°
Fractional positions:
Te 0.5000 0.5000 0.7500
As 0.0000 0.0000 0.0000
Sn 0.0000 0.0000 0.2284
Sn 0.5000 0.5000 0.0000
Sn 0.5000 0.5000 0.5000
Te 0.5000 0.5000 0.2500
Te 0.0000 0.0000 0.5000
Sn 0.0000 0.0000 0.7716

Values from the calculation:
E_form (uncorrected) = -0.182 eV/atom
DFT total energy = -31.5 eV for the cell shown